1.
The following is a PBE-GGA calculation of an optimized crystal structure of AcCdGa4Ag2, from the Alexandria database.

Properties
- E_form (eV/atom) = -0.1791
- space group = R-3m, No. 166
- theoretical density (kg/m³) = 7905

a = 9.8429 Å, b = 9.8429 Å, c = 9.8429 Å
α = 27.15°, β = 27.15°, γ = 27.15°
Positions (direct):
1 Ac 0.0000 0.0000 0.0000
2 Cd 0.5000 0.5000 0.5000
3 Ga 0.1221 0.1221 0.1221
4 Ga 0.3995 0.3995 0.3995
5 Ga 0.6005 0.6005 0.6005
6 Ga 0.8779 0.8779 0.8779
7 Ag 0.2422 0.2422 0.2422
8 Ag 0.7578 0.7578 0.7578


2.
The following is a PBE-GGA calculation of an optimized crystal structure of Rb6HgCl, from the Alexandria database.

Properties
- space group = P-31c, No. 163
- theoretical density (kg/m³) = 2308
- raw formation energy (eV per atom) = -0.49

a = 8.6989 Å, b = 8.6989 Å, c = 16.4421 Å
α = 90.00°, β = 90.00°, γ = 120.00°
Positions (direct):
1 Rb 0.0154 0.3566 0.1297
2 Rb 0.0154 0.6588 0.3703
3 Rb 0.3412 0.3566 0.3703
4 Rb 0.3412 0.9846 0.1297
5 Rb 0.3566 0.0154 0.6297
6 Rb 0.3566 0.3412 0.8703
7 Rb 0.6434 0.6588 0.1297
8 Rb 0.6434 0.9846 0.3703
9 Rb 0.6588 0.0154 0.8703
10 Rb 0.6588 0.6434 0.6297
11 Rb 0.9846 0.3412 0.6297
12 Rb 0.9846 0.6434 0.8703
13 Hg 0.0000 0.0000 0.0000
14 Hg 0.0000 0.0000 0.5000
15 Cl 0.3333 0.6667 0.2500
16 Cl 0.6667 0.3333 0.7500


3.
The following is a PBE-GGA calculation of an optimized crystal structure of KVHg3, from the Alexandria database.

Properties
- E_form (eV/atom) = 0.1722
- space group = Pm-3m, No. 221
- theoretical density (kg/m³) = 7169
- energy above the lowest structure with this stoichiometry (meV per atom) = 0

a = 5.4317 Å, b = 5.4317 Å, c = 5.4317 Å
α = 90.00°, β = 90.00°, γ = 90.00°
Positions (direct):
1 K 0.0000 0.0000 0.0000
2 V 0.5000 0.5000 0.5000
3 Hg 0.0000 0.5000 0.5000
4 Hg 0.5000 0.0000 0.5000
5 Hg 0.5000 0.5000 0.0000


4.
The following is a PBE-GGA calculation of an optimized crystal structure of CdAs2S, from the Alexandria database.

Properties
- space group = Fm-3m, No. 225
- theoretical density (kg/m³) = 6225
- raw formation energy (eV per atom) = 0.51
- energy above the lowest structure with this stoichiometry (meV per atom) = 210

a = 4.8064 Å, b = 4.8064 Å, c = 4.8064 Å
α = 60.00°, β = 60.00°, γ = 60.00°
Positions (direct):
1 Cd 0.0000 0.0000 0.0000
2 As 0.2500 0.2500 0.2500
3 As 0.7500 0.7500 0.7500
4 S 0.5000 0.5000 0.5000


5.
The following is a PBE-GGA calculation of an optimized crystal structure of KYBe2, from the Alexandria database.

Properties
- E_form (eV/atom) = 0.5219
- space group = P2/m, No. 10
- theoretical density (kg/m³) = 2287
- energy above the lowest structure with this stoichiometry (meV per atom) = 149

a = 3.7602 Å, b = 3.7549 Å, c = 7.5081 Å
α = 90.00°, β = 90.06°, γ = 90.00°
Positions (direct):
1 K 0.0000 0.0000 0.0000
2 Y 0.0000 0.0000 0.5000
3 Be 0.4997 0.5000 0.3568
4 Be 0.5003 0.5000 0.6432


6.
The following is a PBE-GGA calculation of an optimized crystal structure of Er4CuPt, from the Alexandria database.

Properties
- E_form (eV/atom) = -0.4255
- space group = P2_1/c, No. 14
- theoretical density (kg/m³) = 9607

a = 6.8647 Å, b = 6.8446 Å, c = 6.8255 Å
α = 90.00°, β = 90.62°, γ = 90.00°
Positions (direct):
1 Er 0.1586 0.1576 0.1586
2 Er 0.1586 0.3424 0.6586
3 Er 0.3397 0.6582 0.1598
4 Er 0.3397 0.8418 0.6598
5 Er 0.6603 0.1582 0.3402
6 Er 0.6603 0.3418 0.8402
7 Er 0.8414 0.6576 0.3414
8 Er 0.8414 0.8424 0.8414
9 Cu 0.5000 0.0000 0.0000
10 Cu 0.5000 0.5000 0.5000
11 Pt 0.0000 0.0000 0.5000
12 Pt 0.0000 0.5000 0.0000


7.
The following is a PBE-GGA calculation of an optimized crystal structure of PrDy2Zn3, from the Alexandria database.

Properties
- E_form (eV/atom) = -0.3221
- space group = P4/mmm, No. 123
- theoretical density (kg/m³) = 7750

a = 3.6093 Å, b = 3.6093 Å, c = 10.8906 Å
α = 90.00°, β = 90.00°, γ = 90.00°
Positions (direct):
1 Pr 0.0000 0.0000 0.0000
2 Dy 0.0000 0.0000 0.3380
3 Dy 0.0000 0.0000 0.6620
4 Zn 0.5000 0.5000 0.1816
5 Zn 0.5000 0.5000 0.5000
6 Zn 0.5000 0.5000 0.8184


8.
The following is a PBE-GGA calculation of an optimized crystal structure of AlMoAs2, from the Alexandria database.

Properties
- E_form (eV/atom) = 0.0668
- space group = R3m, No. 160
- theoretical density (kg/m³) = 6043

a = 9.7883 Å, b = 9.7883 Å, c = 9.7883 Å
α = 17.61°, β = 17.61°, γ = 17.61°
Positions (direct):
1 Al 0.0000 0.0000 0.0000
2 Mo 0.7396 0.7396 0.7396
3 As 0.2603 0.2603 0.2603
4 As 0.4739 0.4739 0.4739


9.
The following is a PBE-GGA calculation of an optimized crystal structure of CeSmYAl, from the Alexandria database.

Properties
- E_form (eV/atom) = -0.0013
- space group = F-43m, No. 216
- theoretical density (kg/m³) = 6257

a = 5.3427 Å, b = 5.3427 Å, c = 5.3427 Å
α = 60.00°, β = 60.00°, γ = 60.00°
Positions (direct):
1 Ce 0.0000 0.0000 0.0000
2 Sm 0.2500 0.2500 0.2500
3 Y 0.7500 0.7500 0.7500
4 Al 0.5000 0.5000 0.5000


10.
The following is a PBE-GGA calculation of an optimized crystal structure of Ac2SmPu, from the Alexandria database.

Properties
- E_form (eV/atom) = 0.1918
- space group = P4/mmm, No. 123
- theoretical density (kg/m³) = 9463
- energy above the lowest structure with this stoichiometry (meV per atom) = 33

a = 5.3928 Å, b = 5.3928 Å, c = 5.1187 Å
α = 90.00°, β = 90.00°, γ = 90.00°
Positions (direct):
1 Ac 0.0000 0.5000 0.0000
2 Ac 0.5000 0.0000 0.0000
3 Sm 0.0000 0.0000 0.5000
4 Pu 0.5000 0.5000 0.5000


11.
The following is a PBE-GGA calculation of an optimized crystal structure of Tb7Pm3Tl, from the Alexandria database.

Properties
- E_form (eV/atom) = 0.1313
- space group = P3m1, No. 156
- theoretical density (kg/m³) = 7924

a = 7.0216 Å, b = 7.0216 Å, c = 8.5978 Å
α = 90.00°, β = 90.00°, γ = 120.00°
Positions (direct):
1 Tb 0.0000 0.0000 0.0000
2 Tb 0.1639 0.3278 0.3327
3 Tb 0.1639 0.8361 0.3327
4 Tb 0.5011 0.0022 0.0119
5 Tb 0.5011 0.4989 0.0119
6 Tb 0.6722 0.8361 0.3327
7 Tb 0.9978 0.4989 0.0119
8 Pm 0.3320 0.1660 0.6705
9 Pm 0.8340 0.1660 0.6705
10 Pm 0.8340 0.6680 0.6705
11 Tl 0.6667 0.3333 0.3316


Q: Number 6 is which compound?
A: Er4CuPt


Q: theoretical density of number 2 (Rb6HgCl)?
A: 2308 kg/m³


Q: Which of these has the lowest theoretical density?
A: KYBe2


Q: Among the records above, which one has the lowest theoretical density?
A: KYBe2